Entry 1:
A plane-wave DFT calculation with PBE was carried out for crystalline AcAgGe3 at its relaxed geometry.

Output
**Distance to the lowest polymorph of the same formula**: 80 meV per atom
**Magnetic moment**: 0.00 μB per formula unit
**Symmetry**: No. 65
**Energy relative to the elements**: -0.30 eV/atom

```
10
Lattice="-1.068 -1.681 4.073 3.762 -2.507 -0.048 3.914 9.851 5.093" Properties=species:S:1:pos:R:3 pbc="T T T"
Ge 0.624 0.926 0.546
Ge 3.205 4.755 2.803
Ge 4.637 6.832 6.560
Ge 7.052 6.418 4.499
Ge 4.471 2.589 2.241
Ge 1.970 -1.169 2.557
Ag 4.495 6.670 3.932
Ag 3.181 0.674 1.112
Ac 1.408 2.040 3.735
Ac 5.200 3.623 5.382
```

Entry 2:
A plane-wave DFT calculation with PBE was carried out for crystalline TiBe2Zn at its relaxed geometry.

Output
**Magnetic moment**: 0.00 μB per formula unit
**Symmetry**: No. 122
**Energy relative to the elements**: 0.46 eV/atom

```
8
Lattice="-2.446 2.264 -2.010 -2.359 -3.045 -0.559 -6.078 1.288 5.078" Properties=species:S:1:pos:R:3 pbc="T T T"
Ti -5.419 -1.074 1.617
Ti -2.402 -0.391 -1.285
Be -5.130 0.396 -0.836
Be -5.767 1.439 2.986
Be -6.997 2.562 1.979
Be -3.958 1.925 -0.562
Zn -5.463 1.580 0.892
Zn 0.000 0.000 0.000
```

Entry 3:
A plane-wave DFT calculation with PBE was carried out for crystalline Dy6C2S3Br at its relaxed geometry.

Output
**Magnetic moment**: 0.00 μB per formula unit
**Symmetry**: No. 12
**ΔE_f (raw)**: -1.378 eV per atom

```
12
Lattice="3.777 0.000 0.000 0.000 7.884 0.388 -1.888 -2.156 8.088" Properties=species:S:1:pos:R:3 pbc="T T T"
C 0.000 1.913 2.881
C 1.888 3.814 5.595
Br 1.888 0.000 0.000
S 0.000 5.930 2.876
S 1.888 3.942 0.194
S 1.888 -0.203 5.600
Dy 1.888 3.696 3.056
Dy 1.888 3.579 8.011
Dy 0.000 5.452 5.527
Dy 0.000 2.149 0.464
Dy 0.000 2.031 5.419
Dy 1.888 0.276 2.948
```

Entry 4:
A plane-wave DFT calculation with PBE was carried out for crystalline Th2CoPtAu at its relaxed geometry.

Output
**Magnetic moment**: 0.00 μB per formula unit
**Symmetry**: No. 11
**Energy relative to the elements**: -0.69 eV/atom

```
10
Lattice="4.709 0.000 0.000 0.000 7.280 -0.351 0.000 -3.395 6.839" Properties=species:S:1:pos:R:3 pbc="T T T"
Co 1.177 3.621 6.386
Co 3.532 0.263 0.102
Th 1.177 -1.240 6.073
Th 3.532 3.406 4.124
Th 1.177 0.479 2.365
Th 3.532 5.125 0.415
Pt 1.177 1.456 5.071
Pt 3.532 2.429 1.417
Au 1.177 4.134 2.189
Au 3.532 -0.249 4.299
```

Entry 5:
A plane-wave DFT calculation with PBE was carried out for crystalline Dy2Sc3Ni2 at its relaxed geometry.

Output
**Distance to the lowest polymorph of the same formula**: 0 meV per atom
**Magnetic moment**: 0.00 μB per formula unit
**Symmetry**: No. 12
**Energy relative to the elements**: -0.27 eV/atom

```
7
Lattice="3.314 0.000 0.885 1.309 5.627 1.745 -0.411 0.276 8.189" Properties=species:S:1:pos:R:3 pbc="T T T"
Dy 1.083 2.771 2.592
Dy 3.129 3.131 8.227
Sc 1.657 0.000 0.442
Sc 2.069 1.260 5.547
Sc 2.143 4.642 5.272
Ni 1.419 5.300 7.983
Ni 2.793 0.602 2.836
```

Entry 6:
A plane-wave DFT calculation with PBE was carried out for crystalline NdErScHg at its relaxed geometry.

Output
**Magnetic moment**: 0.52 μB per formula unit
**Symmetry**: No. 216
**Energy relative to the elements**: -0.08 eV/atom

```
4
Lattice="-0.478 3.205 -4.270 -4.842 1.709 -1.539 -1.358 5.145 0.649" Properties=species:S:1:pos:R:3 pbc="T T T"
Sc -1.670 2.515 -1.290
Nd 0.000 0.000 0.000
Er -3.339 5.029 -2.580
Hg -5.009 7.544 -3.870
```